## Cd2CoF6 (GGA+U)

Data for an optimized crystal structure of Cd2CoF6.

POSCAR file:
```
Cd2CoF6
1.0
-2.971 -3.704 -1.737
3.843 -3.263 0.385
-2.863 -2.233 9.658
F Cd Co
12 4 2
Direct
0.814 0.186 0.155
0.186 0.814 0.155
0.186 0.814 0.845
0.314 0.314 0.655
0.686 0.686 0.655
0.314 0.314 0.345
0.686 0.686 0.345
0.788 0.212 0.500
0.212 0.788 0.500
0.288 0.288 0.000
0.712 0.712 0.000
0.814 0.186 0.845
0.500 0.500 0.834
0.500 0.500 0.166
0.000 0.000 0.334
0.000 0.000 0.666
0.000 0.000 0.000
0.500 0.500 0.500
```

Computed properties:
- E_tot (eV per atom) = -4.19
- density of states at the Fermi level (states/eV/cell) = 0.0
- spin magnetization (μB per cell) = 6.0